[1]
{
  "formula": "TlPd2N",
  "functional": "PBE-GGA",
  "state": "optimized geometry",
  "de_polymorph_kj_per_mol_fu": 0.0,
  "mass_density_g_cm3": 8.6,
  "magmom_total_mub_per_cell": 0.00,
  "dft_energy_ev_per_cell": -78.6,
  "e_form_raw_ev_per_atom": 0.36,
  "lattice_angstrom": [[5.309, 0.000, 0.000], [0.000, 5.309, 0.000], [0.000, 0.000, 11.833]],
  "species": ["Tl", "Tl", "Tl", "Tl", "Pd", "Pd", "Pd", "Pd", "Pd", "Pd", "Pd", "Pd", "N", "N", "N", "N"],
  "frac_coords": [[0.000, 0.000, 0.000], [0.000, 0.500, 0.250], [0.500, 0.000, 0.750], [0.500, 0.500, 0.500], [0.001, 0.250, 0.625], [0.250, 0.501, 0.875], [0.250, 0.999, 0.375], [0.499, 0.250, 0.125], [0.501, 0.750, 0.125], [0.750, 0.001, 0.375], [0.750, 0.499, 0.875], [0.999, 0.750, 0.625], [0.000, 0.000, 0.500], [0.000, 0.500, 0.750], [0.500, 0.000, 0.250], [0.500, 0.500, 0.000]]
}

[2]
{
  "formula": "Pr4Tm7In",
  "functional": "PBE-GGA",
  "state": "optimized geometry",
  "formation_energy_mev_per_atom": 172,
  "mass_density_g_cm3": 7.8,
  "magmom_total_mub_per_cell": 0.00,
  "dft_energy_ev_per_cell": -51.1,
  "lattice_angstrom": [[6.083, -2.910, 0.000], [6.083, 2.910, 0.000], [-5.291, 0.000, 11.251]],
  "species": ["Pr", "Pr", "Pr", "Pr", "Tm", "Tm", "Tm", "Tm", "Tm", "Tm", "Tm", "In"],
  "frac_coords": [[0.121, 0.121, 0.268], [0.325, 0.325, 0.864], [0.675, 0.675, 0.136], [0.879, 0.879, 0.732], [0.000, 0.000, 0.500], [0.133, 0.133, 0.985], [0.300, 0.300, 0.576], [0.404, 0.404, 0.223], [0.596, 0.596, 0.777], [0.700, 0.700, 0.424], [0.867, 0.867, 0.015], [0.500, 0.500, 0.500]]
}

[3]
{
  "formula": "Sm6Si2RuCl3",
  "functional": "PBE-GGA",
  "state": "optimized geometry",
  "mass_density_g_cm3": 6.1,
  "magmom_total_mub_per_cell": 0.00,
  "dft_energy_ev_per_cell": -66.6,
  "e_form_raw_ev_per_atom": -1.05,
  "lattice_angstrom": [[9.225, -2.053, 0.000], [9.225, 2.053, 0.000], [-2.165, 0.000, 8.373]],
  "species": ["Sm", "Sm", "Sm", "Sm", "Sm", "Sm", "Si", "Si", "Ru", "Cl", "Cl", "Cl"],
  "frac_coords": [[0.005, 0.005, 0.226], [0.326, 0.326, 0.428], [0.349, 0.349, 0.900], [0.651, 0.651, 0.100], [0.674, 0.674, 0.572], [0.995, 0.995, 0.774], [0.165, 0.165, 0.339], [0.835, 0.835, 0.661], [0.500, 0.500, 0.000], [0.175, 0.175, 0.837], [0.500, 0.500, 0.500], [0.825, 0.825, 0.163]]
}

[4]
{
  "formula": "Li6Ag12Pb",
  "functional": "PBE-GGA",
  "state": "optimized geometry",
  "formation_energy_mev_per_atom": -82,
  "mass_density_g_cm3": 7.2,
  "magmom_total_mub_per_cell": 0.00,
  "dft_energy_ev_per_cell": -51.0,
  "lattice_angstrom": [[5.651, 3.263, 3.225], [-5.651, 3.263, 3.225], [0.000, -6.526, 3.225]],
  "species": ["Li", "Li", "Li", "Li", "Li", "Li", "Ag", "Ag", "Ag", "Ag", "Ag", "Ag", "Ag", "Ag", "Ag", "Ag", "Ag", "Ag", "Pb"],
  "frac_coords": [[0.071, 0.338, 0.337], [0.337, 0.071, 0.338], [0.338, 0.337, 0.071], [0.662, 0.663, 0.929], [0.663, 0.929, 0.662], [0.929, 0.662, 0.663], [0.092, 0.092, 0.689], [0.092, 0.689, 0.092], [0.231, 0.500, 0.769], [0.231, 0.769, 0.500], [0.311, 0.908, 0.908], [0.500, 0.231, 0.769], [0.500, 0.769, 0.231], [0.689, 0.092, 0.092], [0.769, 0.231, 0.500], [0.769, 0.500, 0.231], [0.908, 0.311, 0.908], [0.908, 0.908, 0.311], [0.500, 0.500, 0.500]]
}